No. 1
A relaxed structure of TlTcSb2, computed with PBE.

Summary:
The raw formation energy comes out at 0.44 eV per atom. The crystal system is orthorhombic. As for the energy relative to the lowest polymorph listed for this composition: 40.5 kJ per mole of atoms. As for the space group: Amm2, No. 38.

Lattice parameters (Å, degrees): 4.765 3.986 5.422 68.45 90.00 90.00
Last column: magnetic moment on the atom in μB.
Fractional coordinates of all 4 atoms:
Sb 0.500 0.444 0.238  -0.01
Tl 0.500 0.724 0.678  -0.01
Tc 0.000 0.316 0.492  0.58
Sb 0.000 0.017 0.091  0.00

No. 2
A relaxed structure of Ag3BMo, computed with PBE.

Summary:
The crystal system is cubic. The value obtained for the formation enthalpy at 0 K is 12.2 eV per formula unit. As for the energy relative to the lowest polymorph listed for this composition: 136.3 kJ per mole of atoms. As for the space group: Pm-3m, No. 221.

Lattice parameters (Å, degrees): 5.102 5.102 5.102 90.00 90.00 90.00
Fractional coordinates of all 5 atoms:
B 0.500 0.500 0.500
Ag 0.000 0.500 0.000
Mo 0.000 0.000 0.000
Ag 0.000 0.000 0.500
Ag 0.500 0.000 0.000

No. 3
A relaxed structure of AlIn2Si, computed with PBE.

Summary:
The raw formation energy comes out at 0.21 eV per atom. The crystal system is orthorhombic. As for the space group: Pmm2, No. 25.

Lattice parameters (Å, degrees): 3.106 3.601 7.790 90.00 90.00 90.00
Fractional coordinates of all 4 atoms:
In 0.500 0.500 0.285
Al 0.500 0.500 0.702
Si 0.000 0.000 0.546
In 0.000 0.000 0.967

No. 4
A relaxed structure of BeNi2As, computed with PBE.

Summary:
The crystal system is monoclinic. The value obtained for the formation enthalpy at 0 K is -0.5 eV per formula unit. As for the energy relative to the lowest polymorph listed for this composition: 5.0 kJ per mole of atoms. As for the space group: P2/m, No. 10.

Lattice parameters (Å, degrees): 2.830 2.838 6.343 63.29 90.00 90.00
Fractional coordinates of all 4 atoms:
Be 0.500 0.750 0.750
Ni 0.000 0.472 0.531
Ni 0.000 0.028 0.969
As 0.500 0.250 0.250

No. 5
A relaxed structure of RbLiPu2Cl8, computed with PBE.

Summary:
The raw formation energy comes out at -1.87 eV per atom. The crystal system is monoclinic. As for the space group: P2/m, No. 10.

Lattice parameters (Å, degrees): 6.799 6.712 8.598 90.00 90.00 82.79
Last column: magnetic moment on the atom in μB.
Fractional coordinates of all 12 atoms:
Rb 0.000 0.000 0.500  0.00
Pu 0.500 0.500 0.240  5.04
Cl 0.174 0.765 0.208  -0.03
Cl 0.174 0.765 0.792  -0.03
Cl 0.826 0.235 0.208  -0.03
Li 0.000 0.000 0.000  0.00
Cl 0.632 0.700 0.500  -0.04
Cl 0.648 0.706 0.000  -0.04
Cl 0.826 0.235 0.792  -0.03
Cl 0.352 0.294 0.000  -0.04
Cl 0.368 0.300 0.500  -0.04
Pu 0.500 0.500 0.760  5.04

No. 6
A relaxed structure of La4SiS2Br, computed with PBE.

Summary:
The raw formation energy comes out at -1.63 eV per atom. The crystal system is monoclinic. As for the space group: P2/m, No. 10.

Lattice parameters (Å, degrees): 4.251 7.357 7.465 71.02 90.00 90.00
Fractional coordinates of all 8 atoms:
La 0.500 0.241 0.739
S 0.500 0.000 0.500
La 0.000 0.771 0.726
La 0.000 0.229 0.274
Si 0.000 0.500 0.500
Br 0.500 0.500 0.000
La 0.500 0.759 0.261
S 0.000 0.000 0.000